A plane-wave DFT calculation with PBE was carried out for CrSbP2 after structural relaxation.

Output
- Uncorrected formation energy: 0.434 eV per atom
- Magnetic moment: 3.4 μB per formula unit

The structure in POSCAR format:
```
CrSbP2
1.0
-3.605 -0.968 -3.724
1.640 -3.665 -3.418
-1.134 0.905 5.069
Cr P Sb
1 2 1
direct
0.221 0.721 0.500 Cr
0.979 0.979 0.000 P
0.783 0.283 0.500 P
0.518 0.518 0.000 Sb
```

A plane-wave DFT calculation with PBE was carried out for CrSbP2 after structural relaxation.

Output
- Uncorrected formation energy: 0.099 eV per atom
- Magnetic moment: 2.0 μB per formula unit

The structure in POSCAR format:
```
CrSbP2
1.0
7.077 -0.058 0.021
6.252 3.318 0.021
0.764 0.187 3.175
Cr P Sb
1 2 1
direct
0.254 0.254 0.247 Cr
0.891 0.891 0.106 P
0.772 0.772 0.728 P
0.583 0.583 0.420 Sb
```

A plane-wave DFT calculation with PBE was carried out for CrSbP2 after structural relaxation.

Output
- Uncorrected formation energy: 0.083 eV per atom
- Magnetic moment: 0.0 μB per formula unit

The structure in POSCAR format:
```
CrSbP2
1.0
3.037 0.000 0.000
0.000 3.037 0.000
0.000 0.000 7.560
Cr P Sb
1 2 1
direct
0.500 0.500 0.826 Cr
0.000 0.000 0.966 P
0.500 0.500 0.140 P
0.000 0.000 0.568 Sb
```

A plane-wave DFT calculation with PBE was carried out for CrSbP2 after structural relaxation.

Output
- Uncorrected formation energy: 0.451 eV per atom
- Magnetic moment: 3.4 μB per formula unit

The structure in POSCAR format:
```
CrSbP2
1.0
4.580 -0.050 0.000
-0.908 4.489 0.000
0.000 0.000 3.448
Cr P Sb
1 2 1
direct
0.000 0.500 0.500 Cr
0.000 0.000 0.000 P
0.500 0.500 0.000 P
0.500 0.000 0.500 Sb
```

A plane-wave DFT calculation with PBE was carried out for CrSbP2 after structural relaxation.

Output
- Uncorrected formation energy: 0.179 eV per atom
- Magnetic moment: 3.0 μB per formula unit

The structure in POSCAR format:
```
CrSbP2
1.0
5.724 0.000 0.000
0.000 5.724 0.000
2.862 2.862 5.745
Sb P Cr
2 4 2
direct
0.000 0.000 0.000 Sb
0.750 0.250 0.500 Sb
0.573 0.125 0.250 P
0.177 0.625 0.250 P
0.375 0.427 0.750 P
0.875 0.823 0.750 P
0.500 0.500 0.000 Cr
0.250 0.750 0.500 Cr
```

A plane-wave DFT calculation with PBE was carried out for Cr3SbP after structural relaxation.

Output
- Uncorrected formation energy: 1.301 eV per atom
- ΔE to the lowest computed polymorph: 974.1 meV/atom
- Magnetic moment: 12.0 μB per formula unit

The structure in POSCAR format:
```
Cr3SbP
1.0
-1.345 -3.848 3.018
-1.643 -2.593 -4.037
4.606 -2.049 -0.559
Sb P Cr
1 1 3
direct
0.000 0.000 0.000 Sb
0.500 0.500 0.500 P
0.000 0.500 0.000 Cr
0.000 0.000 0.500 Cr
0.500 0.000 0.000 Cr
```

A plane-wave DFT calculation with PBE was carried out for CrSbP2 after structural relaxation.

Output
- Uncorrected formation energy: 0.072 eV per atom
- Magnetic moment: 0.0 μB per formula unit

The structure in POSCAR format:
```
CrSbP2
1.0
8.291 -0.053 -0.032
7.728 3.004 -0.032
7.728 1.423 2.645
Cr P Sb
1 2 1
direct
0.250 0.250 0.250 Cr
0.979 0.979 0.979 P
0.521 0.521 0.521 P
0.750 0.750 0.750 Sb
```

A plane-wave DFT calculation with PBE was carried out for CrSbP2 after structural relaxation.

Output
- Uncorrected formation energy: 0.069 eV per atom
- Magnetic moment: 3.1 μB per formula unit

The structure in POSCAR format:
```
CrSbP2
1.0
-2.471 2.093 -1.763
1.405 -1.611 -3.882
-2.755 -3.961 -0.839
Cr P Sb
1 2 1
direct
0.500 0.750 0.750 Cr
0.000 0.027 0.917 P
0.000 0.473 0.583 P
0.500 0.250 0.250 Sb
```